Record 1
Here is LiCu2P3O10 after structural relaxation from the Alexandria database. Energies are from GGA-PBEsol.

Unit cell a=4.6561 b=8.2105 c=9.2759 alpha=90.00 beta=103.31 gamma=90.00
Sites, in units of the cell vectors:
O1 0.8515 0.4054 0.1832
Cu1 0.9486 0.4349 0.6719
O2 0.2414 0.4049 0.4666
O3 0.6894 0.4052 0.8517
O4 0.3106 0.9052 0.1483
Li1 0.0000 0.0000 0.0000
O5 0.1485 0.5946 0.8168
Cu2 0.0514 0.9349 0.3281
O6 0.6894 0.0948 0.8517
O7 0.4688 0.2500 0.2879
P1 0.5891 0.7500 0.5478
O8 0.5694 0.7500 0.9766
P2 0.3257 0.7500 0.8239
O9 0.2414 0.0951 0.4666
P3 0.5212 0.2500 0.8604
O10 0.2839 0.7500 0.4380
O11 0.2096 0.2500 0.7545
O12 0.1485 0.9054 0.8168
P4 0.4788 0.7500 0.1396
O13 0.7161 0.2500 0.5620
O14 0.7904 0.7500 0.2455
O15 0.5312 0.7500 0.7121
Cu3 0.0514 0.5651 0.3281
O16 0.7586 0.9049 0.5334
O17 0.7586 0.5951 0.5334
Cu4 0.9486 0.0651 0.6719
O18 0.4306 0.2500 0.0234
O19 0.3106 0.5948 0.1483
P5 0.6743 0.2500 0.1761
Li2 0.0000 0.5000 0.0000
P6 0.4109 0.2500 0.4522
O20 0.8515 0.0946 0.1832

Calculated values
- crystal system = monoclinic

---

Record 2
Here is TiSbPRu2 after structural relaxation from the Alexandria database. Energies are from GGA-PBEsol.

Unit cell a=4.2496 b=4.2496 c=5.0861 alpha=90.00 beta=90.00 gamma=90.00
Sites, in units of the cell vectors:
Ru1 0.5000 0.0000 0.0000
P1 0.0000 0.0000 0.0000
Ti1 0.5000 0.5000 0.5000
Sb1 0.0000 0.0000 0.5000
Ru2 0.0000 0.5000 0.0000

Calculated values
- crystal system = tetragonal

---

Record 3
Here is SrMn2CrSb after structural relaxation from the Alexandria database. Energies are from GGA-PBEsol.

Unit cell a=5.1351 b=5.0252 c=5.0252 alpha=90.00 beta=90.00 gamma=90.00
Sites, in units of the cell vectors:
Sr1 0.5000 0.5000 0.5000
Sb1 0.0000 0.0000 0.0000
Mn1 0.0000 0.5000 0.0000
Mn2 0.0000 0.0000 0.5000
Cr1 0.5000 0.0000 0.0000

Calculated values
- crystal system = tetragonal

---

Number 1: total DFT energy (no corrections) -6.820 eV per atom. Number 2: total DFT energy (no corrections) -7.288 eV per atom. Number 3: total DFT energy (no corrections) -6.293 eV per atom.